No. 1
K2PdCl4: optimized geometry, GGA-PBE.

Properties
* total energy: -3.4838 eV/atom

POSCAR file:
```
K2PdCl4
1.0
4.128 0.000 0.000
0.000 10.106 0.000
0.000 0.000 9.982
K Pd Cl
4 2 8
direct
0.000 0.249 0.000
0.000 0.251 0.500
0.000 0.749 0.500
0.000 0.751 0.000
0.500 0.000 0.250
0.500 0.500 0.750
0.500 0.000 0.015
0.500 0.000 0.483
0.500 0.231 0.249
0.500 0.269 0.749
0.500 0.500 0.515
0.500 0.500 0.983
0.500 0.731 0.749
0.500 0.769 0.249
```

No. 2
K2PdCl4: optimized geometry, GGA-PBE.

Properties
* total energy: -3.4835 eV/atom

POSCAR file:
```
K2PdCl4
1.0
7.072 0.000 0.000
0.000 7.072 0.000
0.000 0.000 4.143
K Pd Cl
2 1 4
direct
0.000 0.500 0.000
0.500 0.000 0.000
0.000 0.000 0.500
0.233 0.233 0.500
0.233 0.767 0.500
0.767 0.233 0.500
0.767 0.767 0.500
```

No. 3
K2PdCl4: optimized geometry, GGA-PBE.

Properties
* total energy: -3.4823 eV/atom

POSCAR file:
```
K2PdCl4
1.0
7.039 0.000 0.000
0.000 7.039 0.000
0.000 0.000 8.344
K Pd Cl
4 2 8
direct
0.000 0.500 0.250
0.000 0.500 0.750
0.500 0.000 0.250
0.500 0.000 0.750
0.000 0.000 0.000
0.500 0.500 0.500
0.234 0.234 0.000
0.234 0.766 0.000
0.266 0.266 0.500
0.266 0.734 0.500
0.734 0.266 0.500
0.734 0.734 0.500
0.766 0.234 0.000
0.766 0.766 0.000
```

No. 4
K3PdCl6: optimized geometry, GGA-PBE.

Properties
* total energy: -3.2220 eV/atom

POSCAR file:
```
K3PdCl6
1.0
0.000 5.294 5.294
5.294 0.000 5.294
5.294 5.294 0.000
K Pd Cl
3 1 6
direct
0.000 0.000 0.000
0.250 0.250 0.250
0.750 0.750 0.750
0.500 0.500 0.500
0.273 0.273 0.727
0.273 0.727 0.273
0.273 0.727 0.727
0.727 0.273 0.273
0.727 0.273 0.727
0.727 0.727 0.273
```

No. 5
K2PdPtCl6: optimized geometry, GGA-PBE.

Properties
* spin magnetization: 0.000 μB/atom
* total energy: -3.4591 eV/atom

POSCAR file:
```
K2PdPtCl6
1.0
0.000 4.951 4.951
4.951 0.000 4.951
4.951 4.951 0.000
K Pd Pt Cl
2 1 1 6
direct
0.250 0.250 0.250
0.750 0.750 0.750
0.000 0.000 0.000
0.500 0.500 0.500
0.254 0.254 0.746
0.254 0.746 0.254
0.254 0.746 0.746
0.746 0.254 0.254
0.746 0.254 0.746
0.746 0.746 0.254
```

No. 6
KRb2PdCl6: optimized geometry, GGA-PBE.

Properties
* total energy: -3.2339 eV/atom

POSCAR file:
```
KRb2PdCl6
1.0
0.000 5.341 5.341
5.341 0.000 5.341
5.341 5.341 0.000
K Rb Pd Cl
1 2 1 6
direct
0.000 0.000 0.000
0.250 0.250 0.250
0.750 0.750 0.750
0.500 0.500 0.500
0.274 0.274 0.726
0.274 0.726 0.274
0.274 0.726 0.726
0.726 0.274 0.274
0.726 0.274 0.726
0.726 0.726 0.274
```

| no. | ρ (g/cm³) |
| --- | --- |
| 1 | 2.60 |
| 2 | 2.62 |
| 3 | 2.62 |
| 4 | 2.44 |
| 5 | 4.05 |
| 6 | 2.88 |